(1)
First-principles (PBE-GGA) data for crystalline HoZr5P6 at its relaxed geometry, as listed in the Alexandria database.

Calculated values
As for the formation energy: -31.77 kcal/mol of atoms. Its crystal system is monoclinic.

abc: 6.5484 11.3195 6.5589
angles: 90.00 109.46 90.00
With the nearest neighbours (Å) after each atom.
Space group C2/m (No. 12)
Inequivalent atoms, fractional coordinates:
Ho1 0.0000 0.0000 0.0000 [2 per cell]  6 P 2.71-2.72
Zr1 0.0000 0.1632 0.5000 [4 per cell]  6 P 2.65-2.67
Zr2 0.0000 0.3331 0.0000 [4 per cell]  6 P 2.66-2.68
Zr3 0.0000 0.5000 0.5000 [2 per cell]  6 P 2.64-2.67
P1 0.2440 0.5000 0.2506 [4 per cell]  5 Zr 2.64-2.66, 1 Ho 2.71
P2 0.2453 0.3302 0.7445 [8 per cell]  5 Zr 2.65-2.68, 1 Ho 2.72

---

(2)
First-principles (PBE-GGA) data for crystalline LaTlWSe2 at its relaxed geometry, as listed in the Alexandria database.

Calculated values
The formation energy (no corrections) is 4.2 eV/f.u. Its crystal system is tetragonal.

abc: 5.4027 5.4027 5.2548
angles: 90.00 90.00 90.00
With the nearest neighbours (Å) after each atom.
Space group P4/mmm (No. 123)
Inequivalent atoms, fractional coordinates:
La1 0.0000 0.0000 0.0000 [1 per cell]  8 Se 3.77, 4 W 3.82
Tl1 0.5000 0.5000 0.5000 [1 per cell]  2 W 2.63, 4 Se 2.70
W1 0.5000 0.5000 0.0000 [1 per cell]  2 Tl 2.63
Se1 0.0000 0.5000 0.5000 [2 per cell]  2 Tl 2.70

---

(3)
First-principles (PBE-GGA) data for crystalline BeRh2C2 at its relaxed geometry, as listed in the Alexandria database.

Calculated values
The value obtained for the energy above the most stable polymorph in this dataset is 0 meV/atom. As for the formation energy: 18.41 kcal/mol of atoms. Its crystal system is tetragonal.

abc: 3.1128 3.1128 10.9809
angles: 90.00 90.00 90.00
With the nearest neighbours (Å) after each atom.
Space group I4/mmm (No. 139)
Inequivalent atoms, fractional coordinates:
Be1 0.0000 0.0000 0.0000 [2 per cell]  8 Rh 2.62
Rh1 0.0000 0.0000 0.3705 [4 per cell]  4 C 2.04
C1 0.0000 0.5000 0.2500 [4 per cell]  4 Rh 2.04, 4 C 2.20

---

(4)
First-principles (PBE-GGA) data for crystalline PmSiS4 at its relaxed geometry, as listed in the Alexandria database.

Calculated values
The formation energy (no corrections) is -6.2 eV/f.u. Its crystal system is monoclinic.

abc: 5.7318 9.0248 5.7423
angles: 90.00 100.06 90.00
With the nearest neighbours (Å) after each atom.
Space group P2_1/m (No. 11)
Inequivalent atoms, fractional coordinates:
Pm1 0.1336 0.2500 0.1292 [2 per cell]  8 S 2.90-2.99
Si1 0.3727 0.7500 0.3787 [2 per cell]  4 S 2.11-2.13
S1 0.1887 0.5677 0.1955 [4 per cell]  1 Si 2.13
S2 0.2642 0.2500 0.6473 [2 per cell]  1 Si 2.11
S3 0.3486 0.7500 0.7415 [2 per cell]  1 Si 2.11

---

(5)
First-principles (PBE-GGA) data for crystalline TlCrFe2N at its relaxed geometry, as listed in the Alexandria database.

Calculated values
The value obtained for the energy above the most stable polymorph in this dataset is 0 meV/atom. The formation energy (no corrections) is 0.6 eV/f.u. Its crystal system is tetragonal.

abc: 3.9631 3.9631 3.8885
angles: 90.00 90.00 90.00
With the nearest neighbours (Å) after each atom.
Space group P4/mmm (No. 123)
Inequivalent atoms, fractional coordinates:
Tl1 0.0000 0.0000 0.0000 [1 per cell]  8 Fe 2.78, 4 Cr 2.80
Cr1 0.5000 0.5000 0.0000 [1 per cell]  2 N 1.94
Fe1 0.0000 0.5000 0.5000 [2 per cell]  2 N 1.98
N1 0.5000 0.5000 0.5000 [1 per cell]  2 Cr 1.94, 4 Fe 1.98

---

(6)
First-principles (PBE-GGA) data for crystalline Rb2TlCdPd at its relaxed geometry, as listed in the Alexandria database.

Calculated values
As for the formation energy: 1.01 kcal/mol of atoms. Its crystal system is tetragonal.

abc: 6.4702 6.4702 5.3396
angles: 90.00 90.00 90.00
With the nearest neighbours (Å) after each atom.
Space group P4/mmm (No. 123)
Inequivalent atoms, fractional coordinates:
Rb1 0.0000 0.5000 0.0000 [2 per cell]  2 Pd 3.24
Tl1 0.0000 0.0000 0.5000 [1 per cell]  2 Pd 2.67
Cd1 0.5000 0.5000 0.5000 [1 per cell]  8 Rb 4.19, 4 Tl 4.58
Pd1 0.0000 0.0000 0.0000 [1 per cell]  2 Tl 2.67

---

(7)
First-principles (PBE-GGA) data for crystalline BaAgC2 at its relaxed geometry, as listed in the Alexandria database.

Calculated values
The value obtained for the energy above the most stable polymorph in this dataset is 474 meV/atom. As for the formation energy: 46.02 kcal/mol of atoms. Its crystal system is cubic.

abc: 6.5554 6.5554 6.5554
angles: 90.00 90.00 90.00
With the nearest neighbours (Å) after each atom.
Space group Fm-3m (No. 225)
Inequivalent atoms, fractional coordinates:
Ba1 0.0000 0.0000 0.0000 [4 per cell]  8 C 2.84
Ag1 0.0000 0.0000 0.5000 [4 per cell]  8 C 2.84
C1 0.2500 0.2500 0.2500 [8 per cell]  4 Ba 2.84, 4 Ag 2.84

---

(8)
First-principles (PBE-GGA) data for crystalline CdBPt2F at its relaxed geometry, as listed in the Alexandria database.

Calculated values
The formation energy (no corrections) is 6.9 eV/f.u. Its crystal system is tetragonal.

abc: 5.0894 5.0894 4.1421
angles: 90.00 90.00 90.00
With the nearest neighbours (Å) after each atom.
Space group P4/mmm (No. 123)
Inequivalent atoms, fractional coordinates:
Cd1 0.0000 0.0000 0.0000 [1 per cell]  2 F 2.07
B1 0.5000 0.5000 0.5000 [1 per cell]  8 Pt 3.28, 4 F 3.60
Pt1 0.0000 0.5000 0.0000 [2 per cell]  2 Cd 2.54
F1 0.0000 0.0000 0.5000 [1 per cell]  2 Cd 2.07

---

(9)
First-principles (PBE-GGA) data for crystalline PmGe8Rh4 at its relaxed geometry, as listed in the Alexandria database.

Calculated values
As for the formation energy: -3.77 kcal/mol of atoms. Its crystal system is trigonal.

abc: 5.8997 5.8997 26.5298
angles: 90.00 90.00 120.00
With the nearest neighbours (Å) after each atom.
Space group R-3m (No. 166, hexagonal axes)
Inequivalent atoms, fractional coordinates:
Pm1 0.0000 0.0000 0.0000 [3 per cell]  6 Ge 3.02
Ge1 0.0000 0.0000 0.2435 [6 per cell]  3 Rh 2.66, 6 Ge 2.95
Ge2 0.0046 0.5023 0.2400 [18 per cell]  3 Rh 2.57-2.59
Rh1 0.0000 0.0000 0.5000 [3 per cell]  6 Ge 2.57
Rh2 0.0000 0.5000 0.5000 [9 per cell]  6 Ge 2.59-2.66

---

(10)
First-principles (PBE-GGA) data for crystalline Rb6H2BrCl3 at its relaxed geometry, as listed in the Alexandria database.

Calculated values
Its crystal system is monoclinic. The value obtained for the total energy is -70.68 eV per cell.

abc: 20.2945 4.6633 9.3614
angles: 90.00 103.35 90.00
With the nearest neighbours (Å) after each atom.
Space group C2/m (No. 12)
Inequivalent atoms, fractional coordinates:
Rb1 0.0063 0.0000 0.2634 [4 per cell]  3 Cl 3.24-3.38, 1 H 3.25, 2 Br 3.37
Rb2 0.1710 0.5000 0.0975 [4 per cell]  3 Cl 3.25-3.40, 2 H 3.26, 1 Br 3.38
Rb3 0.1719 0.5000 0.5740 [4 per cell]  3 H 3.11-3.19, 3 Cl 3.37-3.40
H1 0.1708 0.0000 0.3405 [4 per cell]  6 Rb 3.11-3.26
Br1 0.0000 0.5000 0.0000 [2 per cell]  6 Rb 3.37-3.38
Cl1 0.0000 0.5000 0.5000 [2 per cell]  6 Rb 3.24-3.40
Cl2 0.1647 0.0000 0.8301 [4 per cell]  6 Rb 3.25-3.40

---

(11)
First-principles (PBE-GGA) data for crystalline BeAg4 at its relaxed geometry, as listed in the Alexandria database.

Calculated values
The value obtained for the energy above the most stable polymorph in this dataset is 402 meV/atom. As for the formation energy: 11.67 kcal/mol of atoms. Its crystal system is cubic.

abc: 9.0357 9.0357 9.0357
angles: 90.00 90.00 90.00
With the nearest neighbours (Å) after each atom.
Space group Fd-3m (No. 227, origin choice 2)
Inequivalent atoms, fractional coordinates:
Be1 0.1250 0.1250 0.1250 [8 per cell]  4 Ag 2.19
Ag1 0.0148 0.0148 0.7352 [32 per cell]  1 Be 2.19

---

(12)
First-principles (PBE-GGA) data for crystalline BaSc2Rh at its relaxed geometry, as listed in the Alexandria database.

Calculated values
As for the formation energy: 6.10 kcal/mol of atoms. Its crystal system is tetragonal.

abc: 6.6135 6.6135 14.3973
angles: 90.00 90.00 90.00
With the nearest neighbours (Å) after each atom.
Space group I4_1/amd (No. 141, origin choice 2)
Inequivalent atoms, fractional coordinates:
Ba1 0.0000 0.2500 0.3750 [4 per cell]  8 Sc 4.11
Sc1 0.0000 0.0000 0.0000 [8 per cell]  2 Rh 2.44
Rh1 0.0000 0.2500 0.8750 [4 per cell]  4 Sc 2.44

---

(13)
First-principles (PBE-GGA) data for crystalline Cd2NiMo at its relaxed geometry, as listed in the Alexandria database.

Calculated values
The value obtained for the energy above the most stable polymorph in this dataset is 381 meV/atom. As for the formation energy: 11.85 kcal/mol of atoms. Its crystal system is tetragonal.

abc: 4.9162 4.9162 2.8288
angles: 90.00 90.00 90.00
With the nearest neighbours (Å) after each atom.
Space group P4/mmm (No. 123)
Inequivalent atoms, fractional coordinates:
Cd1 0.0000 0.5000 0.0000 [2 per cell]  2 Cd 2.83, 4 Mo 2.84, 4 Ni 2.84
Ni1 0.0000 0.0000 0.5000 [1 per cell]  2 Ni 2.83, 8 Cd 2.84
Mo1 0.5000 0.5000 0.5000 [1 per cell]  2 Mo 2.83, 8 Cd 2.84

---

(14)
First-principles (PBE-GGA) data for crystalline NbTe2RhN at its relaxed geometry, as listed in the Alexandria database.

Calculated values
The value obtained for the energy above the most stable polymorph in this dataset is 0 meV/atom. The formation energy (no corrections) is 2.6 eV/f.u. Its crystal system is tetragonal.

abc: 5.4827 5.4827 3.8249
angles: 90.00 90.00 90.00
With the nearest neighbours (Å) after each atom.
Space group P4/mmm (No. 123)
Inequivalent atoms, fractional coordinates:
Nb1 0.0000 0.0000 0.0000 [1 per cell]  2 N 1.91
Te1 0.0000 0.5000 0.0000 [2 per cell]  2 Nb 2.74
Rh1 0.5000 0.5000 0.5000 [1 per cell]  8 Te 3.34
N1 0.0000 0.0000 0.5000 [1 per cell]  2 Nb 1.91

---

(15)
First-principles (PBE-GGA) data for crystalline Zr3Zn4 at its relaxed geometry, as listed in the Alexandria database.

Calculated values
The value obtained for the energy above the most stable polymorph in this dataset is 0 meV/atom. As for the formation energy: -4.46 kcal/mol of atoms. Its crystal system is tetragonal.

abc: 3.0631 3.0631 27.1909
angles: 90.00 90.00 90.00
With the nearest neighbours (Å) after each atom.
Space group I4/mmm (No. 139)
Inequivalent atoms, fractional coordinates:
Zr1 0.0000 0.0000 0.0000 [2 per cell]  8 Zn 2.94, 4 Zr 3.06
Zr2 0.0000 0.0000 0.2933 [4 per cell]  4 Zn 3.00, 8 Zr 3.06-3.20
Zn1 0.0000 0.0000 0.1304 [4 per cell]  4 Zn 2.67
Zn2 0.0000 0.0000 0.4268 [4 per cell]  4 Zn 2.67, 4 Zr 2.94

---

(16)
First-principles (PBE-GGA) data for crystalline BaSr2OsO6 at its relaxed geometry, as listed in the Alexandria database.

Calculated values
The formation energy (no corrections) is -21.1 eV/f.u. Its crystal system is trigonal.

abc: 6.3007 6.3007 14.4494
angles: 90.00 90.00 120.00
With the nearest neighbours (Å) after each atom.
Space group R-3 (No. 148, hexagonal axes)
Inequivalent atoms, fractional coordinates:
Ba1 0.0000 0.0000 0.0000 [3 per cell]  6 O 2.64
Sr1 0.0000 0.0000 0.2740 [6 per cell]  6 O 2.51-2.65
Os1 0.0000 0.0000 0.5000 [3 per cell]  6 O 1.96
O1 0.0192 0.7582 0.5790 [18 per cell]  1 Os 1.96

---

(17)
First-principles (PBE-GGA) data for crystalline RbScZnCl2 at its relaxed geometry, as listed in the Alexandria database.

Calculated values
The formation energy (no corrections) is -5.1 eV/f.u. Its crystal system is tetragonal.

abc: 5.1521 5.1521 5.6237
angles: 90.00 90.00 90.00
With the nearest neighbours (Å) after each atom.
Space group P4/mmm (No. 123)
Inequivalent atoms, fractional coordinates:
Rb1 0.0000 0.0000 0.0000 [1 per cell]  4 Zn 3.64, 8 Cl 3.81
Sc1 0.5000 0.5000 0.5000 [1 per cell]  4 Cl 2.58, 2 Zn 2.81
Zn1 0.5000 0.5000 0.0000 [1 per cell]  2 Sc 2.81
Cl1 0.0000 0.5000 0.5000 [2 per cell]  2 Sc 2.58

---

(18)
First-principles (PBE-GGA) data for crystalline Y6TlRh at its relaxed geometry, as listed in the Alexandria database.

Calculated values
As for the formation energy: -2.62 kcal/mol of atoms. Its crystal system is triclinic.

abc: 6.9421 6.9556 7.4583
angles: 90.15 117.55 119.90
With the nearest neighbours (Å) after each atom.
Space group P-1 (No. 2)
Inequivalent atoms, fractional coordinates:
Y1 0.0410 0.0802 0.2548 [2 per cell]  1 Rh 2.71
Y2 0.2936 0.7134 0.2544 [2 per cell]  1 Rh 2.71
Y3 0.3235 0.5380 0.7456 [2 per cell]  1 Rh 2.71
Tl1 0.5000 0.0000 0.0000 [1 per cell]  6 Y 3.05
Rh1 0.5000 0.5000 0.5000 [1 per cell]  6 Y 2.71

---

(19)
First-principles (PBE-GGA) data for crystalline Sr3Sc4 at its relaxed geometry, as listed in the Alexandria database.

Calculated values
As for the formation energy: 15.36 kcal/mol of atoms. Its crystal system is hexagonal.

abc: 6.7075 6.7075 6.1737
angles: 90.00 90.00 120.00
With the nearest neighbours (Å) after each atom.
Space group P6/mmm (No. 191)
Inequivalent atoms, fractional coordinates:
Sr1 0.0000 0.5000 0.0000 [3 per cell]  4 Sr 3.35, 8 Sc 3.64-3.74
Sc1 0.0000 0.0000 0.2692 [2 per cell]  1 Sc 2.85
Sc2 0.3333 0.6667 0.5000 [2 per cell]  6 Sr 3.64, 3 Sc 3.87

---

(20)
First-principles (PBE-GGA) data for crystalline Ca4HgRu at its relaxed geometry, as listed in the Alexandria database.

Calculated values
The value obtained for the energy above the most stable polymorph in this dataset is 0 meV/atom. As for the formation energy: -3.87 kcal/mol of atoms. Its crystal system is monoclinic.

abc: 9.0969 13.6635 6.1167
angles: 90.00 111.79 90.00
With the nearest neighbours (Å) after each atom.
Space group C2/c (No. 15)
Inequivalent atoms, fractional coordinates:
Ca1 0.1093 0.1688 0.0612 [8 per cell]  2 Ru 2.90-2.93
Ca2 0.2156 0.4281 0.3498 [8 per cell]  2 Ru 2.99-3.04, 1 Hg 3.30
Hg1 0.0000 0.3710 0.7500 [4 per cell]  8 Ca 3.29-3.55
Ru1 0.0000 0.0010 0.2500 [4 per cell]  8 Ca 2.90-3.04, 2 Ru 3.06